# 1
Computed, not measured: a geometry-optimized Al2Zn5Ag2 structure at the PBE-GGA level of DFT.

```
Al2Zn5Ag2
1.0
-1.2455 2.4064 0.8536
0.1004 -0.3461 6.3114
9.2897 0.6374 2.9754
Al Zn Ag
2 5 2
Direct
0.4539 0.2982 0.1046
0.5461 0.7018 0.8954
0.9109 0.6009 0.2105
0.7963 0.2478 0.4169
0.0891 0.3991 0.7895
0.0000 0.0000 0.0000
0.2037 0.7522 0.5831
0.6344 0.0965 0.6850
0.3656 0.9035 0.3150
```

Values from the calculation:
SG = P-1
total magnetic moment = 0.0 Bohr magnetons per cell
E = -19.4 eV for the cell shown

=====

# 2
Computed, not measured: a geometry-optimized AlZn3Ag5 structure at the PBE-GGA level of DFT.

```
AlZn3Ag5
1.0
6.1954 -0.2762 -0.4034
1.4304 6.0343 -0.4034
2.0126 1.5197 9.1586
Ag Al Zn
10 2 6
Direct
0.3120 0.6880 0.0000
0.9428 0.2990 0.2332
0.7289 0.7289 0.0635
0.5654 0.5654 0.3554
0.4346 0.4346 0.6446
0.0572 0.7010 0.7668
0.2711 0.2711 0.9365
0.6880 0.3120 0.0000
0.7010 0.0572 0.7668
0.2990 0.9428 0.2332
0.1389 0.1389 0.7215
0.8611 0.8611 0.2785
0.0000 0.0000 0.5000
0.0000 0.0000 0.0000
0.2703 0.2703 0.4567
0.3659 0.3659 0.2018
0.7297 0.7297 0.5433
0.6341 0.6341 0.7982
```

Values from the calculation:
SG = C2/m
total magnetic moment = 0.0 Bohr magnetons per cell
E = -40.4 eV for the cell shown

=====

# 3
Computed, not measured: a geometry-optimized Al4ZnAg5 structure at the PBE-GGA level of DFT.

```
Al4ZnAg5
1.0
-5.9496 -2.5134 3.7536
-3.4105 -3.4503 -7.7161
2.6769 -4.8588 0.9895
Ag Al Zn
10 8 2
Direct
0.3699 0.0000 0.5000
0.1979 0.7439 0.2463
0.8021 0.7561 0.7463
0.1979 0.7439 0.7537
0.8021 0.7561 0.2537
0.1979 0.2561 0.2463
0.1979 0.2561 0.7537
0.8021 0.2439 0.7463
0.8021 0.2439 0.2537
0.6301 0.5000 0.0000
0.0309 0.0000 0.2544
0.5163 0.3173 0.5000
0.9691 0.5000 0.2456
0.4837 0.8173 0.0000
0.4837 0.1827 0.0000
0.0309 0.0000 0.7456
0.5163 0.6827 0.5000
0.9691 0.5000 0.7544
0.2660 0.5000 0.5000
0.7340 0.0000 0.0000
```

Values from the calculation:
energy above the lowest structure with this stoichiometry = 0.109 eV/atom
SG = Pmmn
total magnetic moment = 0.0 Bohr magnetons per cell

=====

What is the formula in the second record? AlZn3Ag5

=====

Copy entry 1 word for word.
Computed, not measured: a geometry-optimized Al2Zn5Ag2 structure at the PBE-GGA level of DFT.

```
Al2Zn5Ag2
1.0
-1.2455 2.4064 0.8536
0.1004 -0.3461 6.3114
9.2897 0.6374 2.9754
Al Zn Ag
2 5 2
Direct
0.4539 0.2982 0.1046
0.5461 0.7018 0.8954
0.9109 0.6009 0.2105
0.7963 0.2478 0.4169
0.0891 0.3991 0.7895
0.0000 0.0000 0.0000
0.2037 0.7522 0.5831
0.6344 0.0965 0.6850
0.3656 0.9035 0.3150
```

Values from the calculation:
SG = P-1
total magnetic moment = 0.0 Bohr magnetons per cell
E = -19.4 eV for the cell shown

=====

Look up the total magnetic moment of the third one. 0.0 Bohr magnetons per cell